Entry 1:
Density functional theory data (PBE) for a relaxed TaAlTeSe2 crystal.

* total magnetization: 0.00 μB per cell
* E_form (uncorrected): -0.030 eV/atom

Cell lengths 4.968, 4.968, 5.688 Å; angles 90.00, 90.00, 90.00 degrees
Space group P4/mmm (No. 123)
Symmetry-distinct sites (fractional):
1 Ta 0.000 0.000 0.000 (multiplicity 1)
2 Al 0.500 0.500 0.500 (multiplicity 1)
3 Te 0.000 0.000 0.500 (multiplicity 1)
4 Se 0.000 0.500 0.000 (multiplicity 2)

---

Entry 2:
Density functional theory data (PBE) for a relaxed Ta2AlVSe crystal.

* total magnetization: 1.31 μB per cell
* E_form (uncorrected): 1.369 eV/atom

Cell lengths 4.814, 4.814, 4.466 Å; angles 90.00, 90.00, 90.00 degrees
Space group P4/mmm (No. 123)
Symmetry-distinct sites (fractional):
1 Ta 0.000 0.500 0.000 (multiplicity 2)
2 Al 0.000 0.000 0.000 (multiplicity 1)
3 V 0.000 0.000 0.500 (multiplicity 1)
4 Se 0.500 0.500 0.500 (multiplicity 1)

---

Entry 3:
Density functional theory data (PBE) for a relaxed Tb6AlSe5 crystal.

* total magnetization: 0.00 μB per cell
* E_form (uncorrected): -1.546 eV/atom

Cell lengths 7.175, 12.396, 7.156 Å; angles 90.00, 109.36, 90.00 degrees
Space group C2/m (No. 12)
Symmetry-distinct sites (fractional):
1 Tb 0.246 0.000 0.254 (multiplicity 4)
2 Tb 0.246 0.164 0.747 (multiplicity 8)
3 Al 0.000 0.000 0.500 (multiplicity 2)
4 Se 0.000 0.169 0.000 (multiplicity 4)
5 Se 0.000 0.333 0.500 (multiplicity 4)
6 Se 0.000 0.500 0.000 (multiplicity 2)

---

Entry 4:
Density functional theory data (PBE) for a relaxed TbAl2Se4 crystal.

* total magnetization: 2.01 μB per cell
* E_form (uncorrected): -0.906 eV/atom

Cell lengths 7.800, 7.800, 6.375 Å; angles 90.00, 90.00, 90.00 degrees
Space group I4/m (No. 87)
Symmetry-distinct sites (fractional):
1 Tb 0.000 0.000 0.000 (multiplicity 2)
2 Al 0.000 0.500 0.250 (multiplicity 4)
3 Se 0.165 0.669 0.500 (multiplicity 8)

---

Entry 5:
Density functional theory data (PBE) for a relaxed Tb5AlSe4 crystal.

* total magnetization: 0.00 μB per cell
* E_form (uncorrected): -1.505 eV/atom

Cell lengths 9.274, 9.274, 5.834 Å; angles 90.00, 90.00, 90.00 degrees
Space group I4/m (No. 87)
Symmetry-distinct sites (fractional):
1 Tb 0.000 0.000 0.000 (multiplicity 2)
2 Tb 0.098 0.702 0.500 (multiplicity 8)
3 Al 0.000 0.000 0.500 (multiplicity 2)
4 Se 0.099 0.698 0.000 (multiplicity 8)

---

Entry 6:
Density functional theory data (PBE) for a relaxed Tb3AlSe2 crystal.

* total magnetization: 0.00 μB per cell
* E_form (uncorrected): -1.300 eV/atom

Cell lengths 4.008, 5.885, 12.906 Å; angles 90.00, 90.00, 90.00 degrees
Space group Immm (No. 71)
Symmetry-distinct sites (fractional):
1 Tb 0.000 0.000 0.000 (multiplicity 2)
2 Tb 0.000 0.000 0.329 (multiplicity 4)
3 Al 0.000 0.500 0.000 (multiplicity 2)
4 Se 0.000 0.500 0.333 (multiplicity 4)

---

Entry 7:
Density functional theory data (PBE) for a relaxed TbAlSe3 crystal.

* distance to the lowest polymorph of the same formula: 0.068 eV/atom
* total magnetization: 0.00 μB per cell
* E_form (uncorrected): -1.287 eV/atom

Cell lengths 12.836, 9.052, 4.278 Å; angles 90.00, 90.74, 90.00 degrees
Space group C2/m (No. 12)
Symmetry-distinct sites (fractional):
1 Tb 0.237 0.000 0.261 (multiplicity 4)
2 Al 0.000 0.308 0.500 (multiplicity 4)
3 Se 0.103 0.500 0.243 (multiplicity 4)
4 Se 0.145 0.194 0.755 (multiplicity 8)

---

Entry 8:
Density functional theory data (PBE) for a relaxed TbAlSe3 crystal.

* distance to the lowest polymorph of the same formula: 0.000 eV/atom
* total magnetization: 0.00 μB per cell
* E_form (uncorrected): -1.355 eV/atom

Cell lengths 4.036, 23.712, 6.681 Å; angles 90.00, 90.00, 90.00 degrees
Space group Ama2 (No. 40)
Symmetry-distinct sites (fractional):
1 Tb 0.250 0.174 0.000 (multiplicity 4)
2 Al 0.250 0.372 0.929 (multiplicity 4)
3 Se 0.250 0.082 0.289 (multiplicity 4)
4 Se 0.250 0.279 0.770 (multiplicity 4)
5 Se 0.250 0.381 0.282 (multiplicity 4)